A plane-wave DFT calculation with PBE was carried out for a relaxed Cs2Hg5Bi crystal.

a b c (Å): 5.943 7.665 7.665
angles (deg): 90.00 90.00 90.00
Element x y z (fractional)
Hg1 0.000 0.299 0.299
Hg2 0.000 0.299 0.701
Hg3 0.500 0.000 0.000
Hg4 0.000 0.701 0.701
Hg5 0.000 0.701 0.299
Bi1 0.000 0.000 0.000
Cs1 0.500 0.000 0.500
Cs2 0.500 0.500 0.000

Formation energy = -160 meV per atom
Energy relative to the lowest polymorph listed for this composition = 74 meV per atom

---

A plane-wave DFT calculation with PBE was carried out for a relaxed SrAl3Cd3 crystal.

a b c (Å): 7.508 7.508 7.508
angles (deg): 90.00 90.00 90.00
Element x y z (fractional)
Cd1 0.500 0.750 0.000
Cd2 0.500 0.250 0.000
Cd3 0.000 0.500 0.750
Cd4 0.750 0.000 0.500
Cd5 0.250 0.000 0.500
Cd6 0.000 0.500 0.250
Al1 0.000 0.250 0.500
Al2 0.000 0.750 0.500
Al3 0.750 0.500 0.000
Al4 0.250 0.500 0.000
Al5 0.500 0.000 0.250
Al6 0.500 0.000 0.750
Sr1 0.000 0.000 0.000
Sr2 0.500 0.500 0.500

Formation energy = 271 meV per atom

---

A plane-wave DFT calculation with PBE was carried out for a relaxed TiB2W crystal.

a b c (Å): 4.515 4.515 3.080
angles (deg): 90.00 90.00 138.65
Element x y z (fractional)
W1 0.853 0.147 0.000
B1 0.560 0.440 0.000
B2 0.440 0.560 0.500
Ti1 0.146 0.854 0.500

Formation energy = -785 meV per atom
Energy relative to the lowest polymorph listed for this composition = 0 meV per atom

---

A plane-wave DFT calculation with PBE was carried out for a relaxed Li2LaIr crystal.

a b c (Å): 3.903 3.862 6.222
angles (deg): 72.16 90.00 90.00
Element x y z (fractional)
Li1 0.000 0.987 0.148
Li2 0.500 0.455 0.211
La1 0.500 0.739 0.652
Ir1 0.000 0.319 0.489

Formation energy = -272 meV per atom
Energy relative to the lowest polymorph listed for this composition = 67 meV per atom

---

A plane-wave DFT calculation with PBE was carried out for a relaxed Cs5K3I8 crystal.

a b c (Å): 10.737 10.737 10.750
angles (deg): 60.04 60.04 60.00
Element x y z (fractional)
I1 0.243 0.243 0.272
I2 0.250 0.767 0.733
I3 0.250 0.250 0.733
I4 0.750 0.233 0.267
I5 0.750 0.750 0.267
I6 0.757 0.757 0.728
I7 0.233 0.750 0.267
I8 0.767 0.250 0.733
Cs1 0.500 0.500 0.500
Cs2 0.500 0.000 0.000
Cs3 0.000 0.000 0.000
Cs4 0.000 0.500 0.000
Cs5 0.500 0.500 0.000
K1 0.000 0.500 0.500
K2 0.500 0.000 0.500
K3 0.000 0.000 0.500

Formation energy without anion corrections = -1515 meV/atom

---

A plane-wave DFT calculation with PBE was carried out for a relaxed LaTi4S8 crystal.

a b c (Å): 6.890 6.890 7.936
angles (deg): 64.27 64.27 60.00
Element x y z (fractional)
Ti1 0.000 0.500 0.000
Ti2 0.500 0.500 0.000
Ti3 0.000 0.000 0.000
Ti4 0.500 0.000 0.000
S1 0.256 0.766 0.212
S2 0.234 0.234 0.788
S3 0.744 0.234 0.788
S4 0.265 0.265 0.205
S5 0.735 0.735 0.795
S6 0.766 0.766 0.212
S7 0.234 0.744 0.788
S8 0.766 0.256 0.212
La1 0.500 0.500 0.500

Formation energy without anion corrections = -1543 meV/atom

---

A plane-wave DFT calculation with PBE was carried out for a relaxed SmDyScAg crystal.

a b c (Å): 5.303 5.303 5.303
angles (deg): 60.00 60.00 60.00
Element x y z (fractional)
Sm1 0.750 0.750 0.750
Sc1 0.500 0.500 0.500
Ag1 0.000 0.000 0.000
Dy1 0.250 0.250 0.250

Formation energy = 34 meV per atom
Energy relative to the lowest polymorph listed for this composition = 138 meV per atom

---

A plane-wave DFT calculation with PBE was carried out for a relaxed CrOs2Rh crystal.

a b c (Å): 2.698 4.666 5.392
angles (deg): 54.45 90.00 90.00
Last column: magnetic moment on the atom in μB.
Element x y z (fractional)
Rh1 0.500 0.500 0.500  -0.07
Os1 0.500 0.500 0.000  -0.17
Os2 0.000 0.000 0.000  -0.03
Cr1 0.000 0.000 0.500  1.25

Formation energy = 53 meV per atom
Energy relative to the lowest polymorph listed for this composition = 17 meV per atom

---

A plane-wave DFT calculation with PBE was carried out for a relaxed Rb2NaMgI6 crystal.

a b c (Å): 9.354 8.583 8.583
angles (deg): 51.54 55.70 55.71
Element x y z (fractional)
Rb1 0.590 0.563 0.299
Rb2 0.042 0.069 0.805
I1 0.664 0.052 0.788
I2 0.530 0.620 0.855
I3 0.530 0.120 0.354
I4 0.968 0.580 0.315
I5 0.102 0.013 0.247
I6 0.102 0.512 0.749
Mg1 0.816 0.816 0.552
Na1 0.316 0.316 0.051

Formation energy without anion corrections = -1088 meV/atom

---

A plane-wave DFT calculation with PBE was carried out for a relaxed Ni3Pt5 crystal.

a b c (Å): 2.734 2.734 15.026
angles (deg): 90.00 90.00 90.00
Last column: magnetic moment on the atom in μB.
Element x y z (fractional)
Ni1 0.000 0.000 0.500  0.90
Ni2 0.500 0.500 0.121  0.85
Ni3 0.500 0.500 0.879  0.85
Pt1 0.000 0.000 0.000  0.38
Pt2 0.500 0.500 0.381  0.33
Pt3 0.000 0.000 0.240  0.32
Pt4 0.500 0.500 0.619  0.33
Pt5 0.000 0.000 0.760  0.32

Formation energy = -96 meV per atom

---

A plane-wave DFT calculation with PBE was carried out for a relaxed Ag3Cl crystal.

a b c (Å): 4.703 4.703 5.769
angles (deg): 84.22 84.22 39.83
Element x y z (fractional)
Ag1 0.762 0.762 0.718
Ag2 0.500 0.500 0.500
Ag3 0.238 0.238 0.282
Cl1 0.000 0.000 0.000

Formation energy without anion corrections = 29 meV/atom
Energy relative to the lowest polymorph listed for this composition = 131 meV per atom

---

A plane-wave DFT calculation with PBE was carried out for a relaxed ReBrOF2 crystal.

a b c (Å): 4.244 4.244 3.803
angles (deg): 90.00 90.00 90.00
Last column: magnetic moment on the atom in μB.
Element x y z (fractional)
Re1 0.000 0.000 0.000  0.75
O1 0.000 0.000 0.500  -0.05
F1 0.000 0.500 0.000  0.03
F2 0.500 0.000 0.000  0.03
Br1 0.500 0.500 0.500  -0.29

Formation energy without anion corrections = -796 meV/atom
Energy relative to the lowest polymorph listed for this composition = 0 meV per atom